Entry 1:
A relaxed VAgIr3 crystal. Source: Alexandria via LeMat-Bulk, functional PBE-GGA.

Results
**DFT formation energy**: 2366.8 meV/atom
**ΔE to the lowest computed polymorph**: 1218 meV/atom

a b c (Å): 4.760 4.760 4.760
angles (deg): 90.00 90.00 90.00
Space group Pm-3m (No. 221)
One atom of each set of equivalent atoms:
V1 0.000 0.000 0.000 x1
Ag1 0.500 0.500 0.500 x1
Ir1 0.000 0.500 0.500 x3

***

Entry 2:
A relaxed VAgIr crystal. Source: Alexandria via LeMat-Bulk, functional PBE-GGA.

Results
**DFT formation energy**: 143.3 meV/atom

a b c (Å): 5.201 7.353 10.133
angles (deg): 90.00 90.00 90.00
Space group Fmmm (No. 69)
One atom of each set of equivalent atoms:
V1 0.250 0.250 0.250 x8
Ag1 0.000 0.173 0.000 x8
Ir1 0.000 0.000 0.368 x8

***

Entry 3:
A relaxed VAgIr2 crystal. Source: Alexandria via LeMat-Bulk, functional PBE-GGA.

Results
**DFT formation energy**: 283.6 meV/atom
**ΔE to the lowest computed polymorph**: 165 meV/atom

a b c (Å): 7.033 7.033 5.356
angles (deg): 90.00 90.00 90.00
Space group I-42d (No. 122)
One atom of each set of equivalent atoms:
V1 0.000 0.000 0.000 x4
Ag1 0.000 0.000 0.500 x4
Ir1 0.203 0.750 0.125 x8

***

Entry 4:
A relaxed V2AgIr2 crystal. Source: Alexandria via LeMat-Bulk, functional PBE-GGA.

Results
**DFT formation energy**: -241.9 meV/atom
**ΔE to the lowest computed polymorph**: 0 meV/atom

a b c (Å): 7.442 7.442 2.760
angles (deg): 90.00 90.00 90.00
Space group P4/mbm (No. 127)
One atom of each set of equivalent atoms:
V1 0.159 0.341 0.000 x4
Ag1 0.000 0.000 0.500 x2
Ir1 0.135 0.635 0.500 x4

***

Entry 5:
A relaxed VAg2Ir crystal. Source: Alexandria via LeMat-Bulk, functional PBE-GGA.

Results
**DFT formation energy**: 799.9 meV/atom
**ΔE to the lowest computed polymorph**: 276 meV/atom

a b c (Å): 7.439 7.439 5.167
angles (deg): 90.00 90.00 90.00
Space group I-42d (No. 122)
One atom of each set of equivalent atoms:
V1 0.000 0.000 0.000 x4
Ag1 0.249 0.750 0.625 x8
Ir1 0.000 0.000 0.500 x4

***

Entry 6:
A relaxed VAgIr2 crystal. Source: Alexandria via LeMat-Bulk, functional PBE-GGA.

Results
**DFT formation energy**: 118.4 meV/atom
**ΔE to the lowest computed polymorph**: 0 meV/atom

a b c (Å): 6.209 6.209 6.209
angles (deg): 90.00 90.00 90.00
Space group Fm-3m (No. 225)
One atom of each set of equivalent atoms:
V1 0.000 0.000 0.000 x4
Ag1 0.000 0.000 0.500 x4
Ir1 0.250 0.250 0.250 x8

***

| no. | calculated total energy (eV for the cell shown) |
| --- | --- |
| 1 | -26.72 |
| 2 | -163.21 |
| 3 | -114.23 |
| 4 | -80.04 |
| 5 | -81.93 |
| 6 | -116.87 |